This record from Alexandria describes a crystal of TiSiNi relaxed with PBEsol. The functional is meta-GGA SCAN.

a b c (Å): 6.090 3.626 6.950
angles (deg): 90.00 90.00 90.00
Element x y z (fractional)
Ti: 0.023 0.250 0.181
Ti: 0.477 0.750 0.681
Ti: 0.523 0.250 0.319
Ti: 0.977 0.750 0.819
Si: 0.234 0.750 0.378
Si: 0.266 0.250 0.878
Si: 0.734 0.750 0.122
Si: 0.766 0.250 0.622
Ni: 0.141 0.250 0.560
Ni: 0.359 0.750 0.060
Ni: 0.641 0.250 0.940
Ni: 0.859 0.750 0.440

Values from the calculation:
SG: Pnma (62)
Uncorrected formation energy (eV per atom): -0.883

=====

This record from Alexandria describes a crystal of ScRhPb2 relaxed with PBEsol. The functional is meta-GGA SCAN.

a b c (Å): 4.738 4.738 5.668
angles (deg): 103.33 103.33 43.60
Element x y z (fractional)
Sc: 0.000 0.000 0.000
Rh: 0.500 0.500 0.500
Pb: 0.237 0.237 0.723
Pb: 0.763 0.763 0.277

Values from the calculation:
E (Ry/atom): -3.6853
SG: C2/m (12)

=====

This record from Alexandria describes a crystal of BePtS2 relaxed with PBEsol. The functional is meta-GGA SCAN.

a b c (Å): 6.028 6.028 6.028
angles (deg): 128.81 128.81 75.31
Element x y z (fractional)
Be: 0.000 0.000 0.000
Be: 0.750 0.250 0.500
Pt: 0.250 0.750 0.500
Pt: 0.500 0.500 0.000
S: 0.084 0.625 0.959
S: 0.375 0.334 0.459
S: 0.666 0.125 0.041
S: 0.875 0.916 0.541

Values from the calculation:
SG: I-42d (122)
Uncorrected formation energy (eV per atom): -0.500

=====

This record from Alexandria describes a crystal of La4Co relaxed with PBEsol. The functional is meta-GGA SCAN.

a b c (Å): 6.627 6.627 6.627
angles (deg): 94.16 94.16 148.75
Element x y z (fractional)
La: 0.066 0.751 0.817
La: 0.249 0.066 0.315
La: 0.751 0.934 0.685
La: 0.934 0.249 0.183
Co: 0.500 0.500 0.000

Values from the calculation:
E (Ry/atom): -2.7879
SG: I4/m (87)